Entry 1:
Entry from Alexandria: crystalline Zn2Cd2Pt at its relaxed geometry (PBE).

Results
The value obtained for the energy relative to the elements is -0.067 eV per atom. Its space group is P4/mbm. The value obtained for the offset from the most stable computed form is 0.000 eV/atom.

```
Zn2Cd2Pt
1.0
6.558 0.000 0.000
0.000 6.558 0.000
0.000 0.000 4.276
Zn Cd Pt
4 4 2
Direct
0.137 0.363 0.000 Zn
0.363 0.863 0.000 Zn
0.637 0.137 0.000 Zn
0.863 0.637 0.000 Zn
0.171 0.671 0.500 Cd
0.329 0.171 0.500 Cd
0.671 0.829 0.500 Cd
0.829 0.329 0.500 Cd
0.000 0.000 0.000 Pt
0.500 0.500 0.000 Pt
```

---

Entry 2:
Entry from Alexandria: crystalline AsIrClO at its relaxed geometry (PBE).

Results
Its space group is Amm2. As for the formation energy without anion corrections: -0.33 eV per atom. The value obtained for the offset from the most stable computed form is 0.121 eV/atom.

```
AsIrClO
1.0
3.718 0.000 0.000
0.000 1.433 7.676
0.000 -1.433 7.676
As Ir Cl O
1 1 1 1
Direct
0.000 0.000 0.000 As
0.500 0.095 0.095 Ir
0.500 0.720 0.720 Cl
0.000 0.424 0.424 O
```

---

Entry 3:
Entry from Alexandria: crystalline Br2OF at its relaxed geometry (PBE).

Results
Its space group is Fm-3m. As for the formation energy without anion corrections: 0.85 eV per atom. The value obtained for the offset from the most stable computed form is 0.485 eV/atom.

```
Br2OF
1.0
0.000 3.180 3.180
3.180 0.000 3.180
3.180 3.180 0.000
Br O F
2 1 1
Direct
0.250 0.250 0.250 Br
0.750 0.750 0.750 Br
0.000 0.000 0.000 O
0.500 0.500 0.500 F
```

---

Entry 4:
Entry from Alexandria: crystalline BiPO2 at its relaxed geometry (PBE).

Results
Its space group is Fm-3m. As for the formation energy without anion corrections: 0.13 eV per atom. The value obtained for the offset from the most stable computed form is 0.687 eV/atom.

```
BiPO2
1.0
0.000 3.017 3.017
3.017 0.000 3.017
3.017 3.017 0.000
Bi P O
1 1 2
Direct
0.000 0.000 0.000 Bi
0.500 0.500 0.500 P
0.250 0.250 0.250 O
0.750 0.750 0.750 O
```

---

Entry 5:
Entry from Alexandria: crystalline AlMo2As at its relaxed geometry (PBE).

Results
The value obtained for the energy relative to the elements is 0.136 eV per atom. Its space group is F-43m. The value obtained for the offset from the most stable computed form is 0.353 eV/atom.

```
AlMo2As
1.0
0.000 3.172 3.172
3.172 0.000 3.172
3.172 3.172 0.000
Al Mo As
1 2 1
Direct
0.000 0.000 0.000 Al
0.250 0.250 0.250 Mo
0.500 0.500 0.500 Mo
0.750 0.750 0.750 As
```

---

Entry 6:
Entry from Alexandria: crystalline PrNd3Te2 at its relaxed geometry (PBE).

Results
Its space group is C2/m. As for the formation energy without anion corrections: -0.86 eV per atom.

```
PrNd3Te2
1.0
9.491 -2.035 0.000
9.491 2.035 0.000
-4.705 0.000 10.008
Pr Nd Te
2 6 4
Direct
0.110 0.110 0.109 Pr
0.890 0.890 0.891 Pr
0.049 0.049 0.658 Nd
0.309 0.309 0.135 Nd
0.362 0.362 0.539 Nd
0.638 0.638 0.461 Nd
0.691 0.691 0.865 Nd
0.951 0.951 0.342 Nd
0.252 0.252 0.694 Te
0.486 0.486 0.150 Te
0.514 0.514 0.850 Te
0.748 0.748 0.306 Te
```

---

Entry 7:
Entry from Alexandria: crystalline Na3Pa3CuTe8 at its relaxed geometry (PBE).

Results
Its space group is C2/m. As for the formation energy without anion corrections: -0.72 eV per atom.

```
Na3Pa3CuTe8
1.0
7.491 -4.337 0.000
7.491 4.337 0.000
-4.987 0.000 7.694
Na Pa Cu Te
3 3 1 8
Direct
0.000 0.000 0.000 Na
0.000 0.500 0.000 Na
0.500 0.000 0.000 Na
0.000 0.500 0.500 Pa
0.500 0.000 0.500 Pa
0.500 0.500 0.500 Pa
0.000 0.000 0.500 Cu
0.235 0.235 0.721 Te
0.237 0.749 0.722 Te
0.251 0.763 0.278 Te
0.253 0.253 0.260 Te
0.747 0.747 0.740 Te
0.749 0.237 0.722 Te
0.763 0.251 0.278 Te
0.765 0.765 0.279 Te
```

---

Entry 8:
Entry from Alexandria: crystalline AlTl2Pb at its relaxed geometry (PBE).

Results
The value obtained for the energy relative to the elements is 0.201 eV per atom. Its space group is Fm-3m. The value obtained for the offset from the most stable computed form is 0.075 eV/atom.

```
AlTl2Pb
1.0
0.000 3.845 3.845
3.845 0.000 3.845
3.845 3.845 0.000
Al Tl Pb
1 2 1
Direct
0.000 0.000 0.000 Al
0.250 0.250 0.250 Tl
0.750 0.750 0.750 Tl
0.500 0.500 0.500 Pb
```

---

| no. | Fermi-level density of states (states/eV/atom) |
| --- | --- |
| 1 | 0.340 |
| 2 | 0.560 |
| 3 | 1.315 |
| 4 | 0.620 |
| 5 | 1.131 |
| 6 | 0.993 |
| 7 | 1.167 |
| 8 | 0.423 |